First-principles (PBE) data for Tb2Sc2ZnGa4 after structural relaxation, as listed in Alexandria.

Output
symmetry = No. 139
energy of formation from the pure elements = -0.184 eV/atom
V = 200.6 Å³/f.u.

```
data_Tb2Sc2ZnGa4
_cell_length_a 6.490
_cell_length_b 6.490
_cell_length_c 6.490
_cell_angle_alpha 94.86
_cell_angle_beta 117.24
_cell_angle_gamma 117.24
_symmetry_space_group_name_H-M 'P 1'
_symmetry_Int_Tables_number 1
loop_
_symmetry_equiv_pos_as_xyz
'x,y,z'
loop_
_atom_site_label
_atom_site_fract_x
_atom_site_fract_y
_atom_site_fract_z
Ga1 0.000 0.250 0.750
Tb1 0.000 0.303 0.303
Tb2 0.000 0.697 0.697
Ga2 0.500 0.250 0.250
Sc1 0.500 0.750 0.250
Sc2 0.500 0.250 0.750
Ga3 0.500 0.750 0.750
Ga4 0.000 0.750 0.250
Zn1 0.000 0.000 0.000
```